# 1
The following is a PBE calculation of a relaxed structure of Tb3Tl4InTe8, from Alexandria.

Cell: 9.620 9.620 9.620 Å, 55.31 55.31 55.31°
Atoms (fractional coordinates):
Tb: 0.000 0.500 0.500
Tb: 0.500 0.000 0.500
Tb: 0.500 0.500 0.000
Tl: 0.000 0.000 0.500
Tl: 0.000 0.500 0.000
Tl: 0.500 0.000 0.000
Tl: 0.500 0.500 0.500
In: 0.000 0.000 0.000
Te: 0.236 0.236 0.741
Te: 0.236 0.741 0.236
Te: 0.259 0.764 0.764
Te: 0.261 0.261 0.261
Te: 0.739 0.739 0.739
Te: 0.741 0.236 0.236
Te: 0.764 0.259 0.764
Te: 0.764 0.764 0.259

Values from the calculation:
Uncorrected energy in eV per atom: -4.05
Space group: No. 166
Theoretical density in g/cm³: 7.19
M_tot in μB/cell: 0.000
Calculated volume in Å³/f.u.: 560.9

=====

# 2
The following is a PBE calculation of a relaxed structure of CdTc2Ir, from Alexandria.

Cell: 2.823 4.753 9.648 Å, 90.00 90.00 90.00°
Atoms (fractional coordinates):
Cd: 0.000 0.000 0.000
Cd: 0.500 0.500 0.500
Tc: 0.000 0.000 0.503
Tc: 0.000 0.500 0.223
Tc: 0.500 0.000 0.723
Tc: 0.500 0.500 0.003
Ir: 0.000 0.500 0.772
Ir: 0.500 0.000 0.272

Values from the calculation:
Uncorrected energy in eV per atom: -7.26
Space group: No. 44
Theoretical density in g/cm³: 12.85
M_tot in μB/cell: 0.901
Calculated volume in Å³/f.u.: 64.7